## CoOs3Ru (PBEsol)

Data for a geometry-optimized CoOs3Ru structure.

The value obtained for the magnetization is 0.00 μB per atom. For the total energy, the calculation gives -44.53 eV per cell. Its space-group type is No. 221. As for the formation energy from the elements: 2.01 eV per atom.

abc: 4.279 4.279 4.279
angles: 90.00 90.00 90.00
Positions (direct):
Co1 0.000 0.000 0.000
Os1 0.000 0.000 0.500
Os2 0.000 0.500 0.000
Os3 0.500 0.000 0.000
Ru1 0.500 0.500 0.500